1.
Density functional theory data (PBEsol) for a relaxed BaP2Ir2 crystal.

Space-group type: I4/mmm
DOS at the Fermi energy in states/eV per atom: 0.512
E_form in eV per formula unit: -4.301

a b c (Å): 6.8733 6.8733 6.8733
angles (deg): 146.67 146.67 47.85
Atoms (fractional coordinates):
Ba1 0.0000 0.0000 0.0000
P1 0.3528 0.3528 0.0000
P2 0.6472 0.6472 0.0000
Ir1 0.2500 0.7500 0.5000
Ir2 0.7500 0.2500 0.5000

2.
Density functional theory data (PBEsol) for a relaxed BaP2Ir2 crystal.

Space-group type: C2/c
DOS at the Fermi energy in states/eV per atom: 0.309
E_form in eV per formula unit: -4.409

a b c (Å): 6.2337 6.2337 7.5021
angles (deg): 124.25 124.25 65.75
Atoms (fractional coordinates):
Ba1 0.1122 0.8878 0.7500
Ba2 0.8878 0.1122 0.2500
P1 0.1713 0.4599 0.9172
P2 0.4599 0.1713 0.4172
P3 0.5401 0.8287 0.5828
P4 0.8287 0.5401 0.0828
Ir1 0.2787 0.4892 0.2877
Ir2 0.4892 0.2787 0.7877
Ir3 0.5108 0.7213 0.2123
Ir4 0.7213 0.5108 0.7123

3.
Density functional theory data (PBEsol) for a relaxed BaPIrS2 crystal.

Space-group type: P4/mmm
E_tot in eV per atom: -3.232
DOS at the Fermi energy in states/eV per atom: 1.728

a b c (Å): 5.3891 5.3891 5.5621
angles (deg): 90.00 90.00 90.00
Atoms (fractional coordinates):
Ba1 0.0000 0.0000 0.0000
P1 0.0000 0.0000 0.5000
Ir1 0.5000 0.5000 0.5000
S1 0.0000 0.5000 0.0000
S2 0.5000 0.0000 0.0000

4.
Density functional theory data (PBEsol) for a relaxed BaPIrS2 crystal.

Space-group type: P4/mmm
E_tot in eV per atom: -5.878
DOS at the Fermi energy in states/eV per atom: 1.051

a b c (Å): 5.0339 5.0339 4.3514
angles (deg): 90.00 90.00 90.00
Atoms (fractional coordinates):
Ba1 0.0000 0.0000 0.0000
P1 0.5000 0.5000 0.0000
Ir1 0.5000 0.5000 0.5000
S1 0.0000 0.5000 0.5000
S2 0.5000 0.0000 0.5000

no.,theoretical density (Mg/m³)
1,9.93
2,9.83
3,4.37
4,6.39